Entry from Alexandria: an optimized crystal structure of Li4PmAl4 (PBE). Values from VASP.

```
&SYSTEM
  ibrav = 0, nat = 18, ntyp = 3
/
ATOMIC_SPECIES
Li 6.94 Li.upf
Al 26.98 Al.upf
Pm 145.00 Pm.upf
CELL_PARAMETERS angstrom
-3.8569 1.3515 -2.1228
-3.9711 -7.3757 2.5193
-2.6606 3.9404 7.3425
ATOMIC_POSITIONS crystal
Li 0.4999 0.2319 0.1439
Li 0.4999 0.7681 0.8561
Li 0.5001 0.1439 0.7681
Al 0.4998 0.5670 0.1327
Al 0.9998 0.3673 0.0670
Li 0.5001 0.8561 0.2319
Li 0.0001 0.7319 0.6439
Li 0.9999 0.3561 0.7319
Pm 0.5000 0.5000 0.5000
Al 0.5002 0.8673 0.5670
Al 0.0002 0.9330 0.3673
Al 0.5002 0.1327 0.4330
Li 0.0001 0.2681 0.3561
Li 0.9999 0.6439 0.2681
Al 0.9998 0.6327 0.9330
Al 0.4998 0.4330 0.8673
Pm 0.0000 0.0000 0.0000
Al 0.0002 0.0670 0.6327
```

Values from the calculation:
E_tot, eV/cell: -55.9
SG: I4/m (87)

=====

Entry from Alexandria: an optimized crystal structure of Li7PmAl5 (PBE). Values from VASP.

```
&SYSTEM
  ibrav = 0, nat = 13, ntyp = 3
/
ATOMIC_SPECIES
Al 26.98 Al.upf
Li 6.94 Li.upf
Pm 145.00 Pm.upf
CELL_PARAMETERS angstrom
-4.3403 2.0605 2.5616
-5.1088 2.0388 -4.5097
-4.8620 -4.9589 1.5374
ATOMIC_POSITIONS crystal
Al 0.4988 0.4996 0.9996
Li 0.9966 0.3555 0.6513
Li 0.9966 0.6513 0.3555
Pm 0.0035 0.9965 0.9965
Al 0.4988 0.9996 0.4996
Al 0.0019 0.4996 0.9996
Al 0.0019 0.9996 0.4996
Li 0.3537 0.6463 0.6463
Li 0.2887 0.2113 0.2113
Li 0.5009 0.7873 0.2108
Al 0.7041 0.7959 0.7959
Li 0.5009 0.2108 0.7873
Li 0.6533 0.3467 0.3467
```

Values from the calculation:
E_tot, eV/cell: -39.3
SG: Imm2 (44)